{
  "formula": "Cr2CuSb",
  "functional": "meta-GGA SCAN",
  "state": "single point on PBEsol structure",
  "e_form_raw_kj_per_mol_atoms": 29,
  "total_energy_ev_per_atom": -22.008,
  "cell": [[3.024, 0.000, 0.000], [0.000, 3.509, 0.000], [0.000, 0.000, 5.513]],
  "species": ["Cr", "Cr", "Cu", "Sb"],
  "frac_coords": [[0.000, 0.000, 0.233], [0.000, 0.000, 0.767], [0.500, 0.500, 0.000], [0.500, 0.500, 0.500]]
}

=====

{
  "formula": "KFeHPd2",
  "functional": "meta-GGA SCAN",
  "state": "single point on PBEsol structure",
  "total_energy_ev_per_atom": -17.532,
  "cell": [[5.035, 0.000, 0.000], [0.000, 5.035, 0.000], [0.000, 0.000, 3.189]],
  "species": ["K", "Fe", "H", "Pd", "Pd"],
  "frac_coords": [[0.000, 0.000, 0.000], [0.500, 0.500, 0.500], [0.000, 0.000, 0.500], [0.000, 0.500, 0.000], [0.500, 0.000, 0.000]]
}

=====

{
  "formula": "Sr2AlOs",
  "functional": "meta-GGA SCAN",
  "state": "single point on PBEsol structure",
  "total_energy_ev_per_atom": -31.138,
  "cell": [[3.705, -2.139, 0.000], [3.705, 2.139, 0.000], [-2.451, 0.000, 8.089]],
  "species": ["Sr", "Sr", "Al", "Os"],
  "frac_coords": [[0.000, 0.000, 0.000], [0.168, 0.168, 0.509], [0.751, 0.751, 0.255], [0.418, 0.418, 0.254]]
}

=====

{
  "formula": "BaYZn2",
  "functional": "meta-GGA SCAN",
  "state": "single point on PBEsol structure",
  "total_energy_ev_per_atom": -23.770,
  "cell": [[3.612, 0.000, 0.000], [0.000, 5.321, 0.000], [0.000, 0.000, 5.374]],
  "species": ["Ba", "Y", "Zn", "Zn"],
  "frac_coords": [[0.000, 0.000, 0.000], [0.000, 0.500, 0.527], [0.500, 0.000, 0.495], [0.500, 0.500, 0.050]]
}

=====

{
  "formula": "CrCdAs2Br",
  "functional": "meta-GGA SCAN",
  "state": "single point on PBEsol structure",
  "e_form_raw_kj_per_mol_atoms": 16,
  "total_energy_ev_per_atom": -21.558,
  "cell": [[4.556, 0.000, 0.000], [0.000, 4.556, 0.000], [0.000, 0.000, 5.325]],
  "species": ["Cr", "Cd", "As", "As", "Br"],
  "frac_coords": [[0.000, 0.000, 0.000], [0.500, 0.500, 0.500], [0.000, 0.500, 0.000], [0.500, 0.000, 0.000], [0.000, 0.000, 0.500]]
}

=====

{
  "formula": "RbH3",
  "functional": "meta-GGA SCAN",
  "state": "single point on PBEsol structure",
  "total_energy_ev_per_atom": -7.850,
  "cell": [[3.778, -2.348, 0.000], [3.778, 2.348, 0.000], [-2.531, 0.000, 3.714]],
  "species": ["Rb", "H", "H", "H"],
  "frac_coords": [[0.000, 0.000, 0.000], [0.504, 0.504, 0.505], [0.571, 0.571, 0.417], [0.739, 0.739, 0.248]]
}

=====

{
  "formula": "LiScCd2N",
  "functional": "meta-GGA SCAN",
  "state": "single point on PBEsol structure",
  "e_form_raw_kj_per_mol_atoms": 39,
  "total_energy_ev_per_atom": -16.946,
  "cell": [[4.749, 0.000, 0.000], [0.000, 4.749, 0.000], [0.000, 0.000, 3.694]],
  "species": ["Li", "Sc", "Cd", "Cd", "N"],
  "frac_coords": [[0.000, 0.000, 0.000], [0.500, 0.500, 0.500], [0.000, 0.500, 0.000], [0.500, 0.000, 0.000], [0.000, 0.000, 0.500]]
}

=====

{
  "formula": "Li3CrI",
  "functional": "meta-GGA SCAN",
  "state": "single point on PBEsol structure",
  "e_form_raw_kj_per_mol_atoms": 27,
  "total_energy_ev_per_atom": -12.177,
  "cell": [[5.192, 0.000, 0.000], [0.000, 5.192, 0.000], [0.000, 0.000, 5.192]],
  "species": ["Li", "Li", "Li", "Cr", "I"],
  "frac_coords": [[0.000, 0.000, 0.500], [0.000, 0.500, 0.000], [0.500, 0.000, 0.000], [0.000, 0.000, 0.000], [0.500, 0.500, 0.500]]
}